{
  "formula": "CoPRu4",
  "functional": "GGA-PBE",
  "state": "relaxed",
  "lattice": [[0.000, 3.576, 3.576], [3.576, 0.000, 3.576], [3.576, 3.576, 0.000]],
  "species": ["Co", "P", "Ru", "Ru", "Ru", "Ru"],
  "frac_coords": [[0.750, 0.750, 0.750], [0.000, 0.000, 0.000], [0.875, 0.375, 0.375], [0.375, 0.375, 0.875], [0.375, 0.875, 0.375], [0.375, 0.375, 0.375]],
  "delta_e_f_ev_per_atom": 0.89,
  "dft_energy_ev_per_cell": -44.3,
  "mass_density_g_cm3": 8.97,
  "magnetic_moment_mub_per_atom": 0.82
}